Entry 1:
The following is a GGA-PBE calculation of a relaxed Sr11Cd9Hg4 crystal, from Alexandria via LeMat-Bulk.

```
24
Lattice="4.196 0.000 0.000 0.000 13.132 -5.630 0.000 -0.016 14.288" Properties=species:S:1:pos:R:3 pbc="T T T"
Sr 0.000 7.675 9.929
Sr 0.000 5.441 -1.270
Sr 0.000 12.146 3.156
Sr 0.000 0.970 5.502
Sr 0.000 8.525 1.350
Sr 0.000 4.591 7.309
Sr 0.000 10.945 -2.317
Sr 0.000 2.171 10.975
Sr 0.000 0.000 0.000
Sr 0.000 9.555 6.307
Sr 0.000 3.561 2.351
Cd 2.098 8.276 -1.514
Cd 2.098 4.840 10.173
Cd 2.098 1.860 8.206
Cd 2.098 11.256 0.453
Cd 2.098 10.370 9.088
Cd 2.098 2.746 -0.430
Cd 2.098 12.432 5.965
Cd 2.098 0.684 2.694
Cd 2.098 6.558 4.329
Hg 2.098 7.183 7.382
Hg 2.098 5.933 1.276
Hg 2.098 9.611 3.704
Hg 2.098 3.505 4.954
```

## Properties
As for the space group: Cmmm.

Entry 2:
The following is a GGA-PBE calculation of a relaxed Sr2Cd16Hg crystal, from Alexandria via LeMat-Bulk.

```
19
Lattice="-2.806 6.632 -2.980 -6.185 0.612 4.703 3.235 4.821 5.200" Properties=species:S:1:pos:R:3 pbc="T T T"
Sr -3.826 8.021 4.603
Sr -1.934 4.054 2.326
Cd -1.000 6.101 -0.532
Cd 0.416 3.568 5.060
Cd -5.182 2.419 2.408
Cd -3.371 1.876 4.860
Cd -3.824 4.840 -0.681
Cd 1.429 5.373 2.757
Cd -5.035 4.606 4.739
Cd -3.408 7.505 1.039
Cd -0.499 6.633 4.978
Cd -0.736 7.467 2.197
Cd -2.356 4.579 5.883
Cd -5.254 5.448 1.959
Cd -3.067 0.347 2.342
Cd -1.403 3.311 -1.441
Cd 1.571 2.419 2.586
Cd -0.559 1.173 0.673
Hg -5.127 10.748 6.167
```

## Properties
As for the space group: R3m.

Entry 3:
The following is a GGA-PBE calculation of a relaxed SrCdHg crystal, from Alexandria via LeMat-Bulk.

```
3
Lattice="-0.484 4.062 -3.524 -3.755 3.804 0.764 1.470 4.997 1.421" Properties=species:S:1:pos:R:3 pbc="T T T"
Cd 0.000 0.000 0.000
Hg -1.384 6.431 -0.669
Sr -2.077 9.647 -1.004
```

## Properties
As for the space group: F-43m.

Entry 4:
The following is a GGA-PBE calculation of a relaxed SrCd2Hg crystal, from Alexandria via LeMat-Bulk.

```
4
Lattice="5.935 -0.165 -0.297 4.172 4.224 -0.297 1.943 0.780 4.301" Properties=species:S:1:pos:R:3 pbc="T T T"
Sr 3.013 1.210 0.927
Hg 9.038 3.629 2.780
Cd 1.930 0.775 4.247
Cd 6.038 2.425 1.907
```

## Properties
As for the space group: C2/m.

Result set for VASP energy: -1.5255 -1.1287 -1.0389 -1.2127 eV per atom, one per record in the order listed.
Result set for size of the total moment: 0.0 0.0 0.0 0.0 μB per formula unit, one per record in the order listed.
Result set for calculated density: 5.862 7.788 5.977 7.490 g/cm³, one per record in the order listed.